(1)
A plane-wave DFT calculation with GGA-PBE was carried out for crystalline Li8AlCd2 at its relaxed geometry.

The calculated volume comes out at 404 Å³/cell. The energy above the most stable polymorph in this dataset comes out at 0.0764 eV/atom. Its total magnetic moment is 0.00 μB/f.u. The formation energy is -6 kJ per mole of atoms.

Lattice parameters (Å, degrees): 7.4206 13.6633 4.8556 90.00 124.86 90.00
Last column: nearest neighbours and their distance in Å.
Space group C2/m (No. 12)
Symmetry-distinct sites (fractional):
Li 0.0000 0.2042 0.0000  1 Al 2.79, 4 Cd 2.84-3.07, 6 Li 2.94-3.10
Li 0.0859 0.5000 0.7982  3 Li 2.41-2.64, 1 Al 2.64
Li 0.2140 0.1140 0.6671  3 Li 2.61-2.91, 1 Cd 2.86
Al 0.0000 0.0000 0.0000  4 Li 2.64-2.79
Cd 0.0000 0.3116 0.5000  10 Li 2.84-3.07

(2)
A plane-wave DFT calculation with GGA-PBE was carried out for crystalline Hf3P2C at its relaxed geometry.

The calculated volume comes out at 96 Å³/cell. The energy above the most stable polymorph in this dataset comes out at 0.0000 eV/atom. Its total magnetic moment is 0.00 μB/f.u. The formation energy is -105 kJ per mole of atoms.

Lattice parameters (Å, degrees): 3.5234 3.5234 8.9739 90.00 90.00 120.00
Last column: nearest neighbours and their distance in Å.
Space group P-3m1 (No. 164)
Symmetry-distinct sites (fractional):
Hf 0.0000 0.0000 0.0000  6 P 2.58
Hf 0.3333 0.6667 0.6360  3 C 2.37, 3 P 2.64
P 0.3333 0.6667 0.1769  6 Hf 2.58-2.64
C 0.0000 0.0000 0.5000  6 Hf 2.37

(3)
A plane-wave DFT calculation with GGA-PBE was carried out for crystalline MnMoCl2 at its relaxed geometry.

The calculated volume comes out at 191 Å³/cell. The energy above the most stable polymorph in this dataset comes out at 0.2115 eV/atom. Its total magnetic moment is 2.82 μB/f.u.

Lattice parameters (Å, degrees): 14.6465 3.0546 4.4211 90.00 104.92 90.00
Last column: nearest neighbours and their distance in Å.
Space group C2/m (No. 12)
Symmetry-distinct sites (fractional):
Mn 0.0000 0.0000 0.0000  4 Mo 2.69, 2 Cl 2.81
Mo 0.0000 0.5000 0.5000  4 Cl 2.49, 4 Mn 2.69
Cl 0.1382 0.0000 0.6630  2 Mo 2.49

(4)
A plane-wave DFT calculation with GGA-PBE was carried out for crystalline NaCaLa2Ru at its relaxed geometry.

The calculated volume comes out at 178 Å³/cell. The energy above the most stable polymorph in this dataset comes out at 0.0000 eV/atom. Its total magnetic moment is 0.00 μB/f.u. The formation energy is -10 kJ per mole of atoms.

Lattice parameters (Å, degrees): 5.4478 5.4478 5.9837 90.00 90.00 90.00
Last column: nearest neighbours and their distance in Å.
Space group P4/mmm (No. 123)
Symmetry-distinct sites (fractional):
Na 0.0000 0.0000 0.0000  4 Ca 3.85, 8 La 4.05
Ca 0.5000 0.5000 0.0000  2 Ru 2.99
La 0.0000 0.5000 0.5000  2 Ru 2.72
Ru 0.5000 0.5000 0.5000  4 La 2.72, 2 Ca 2.99

(5)
A plane-wave DFT calculation with GGA-PBE was carried out for crystalline LiPr12Cd6 at its relaxed geometry.

The calculated volume comes out at 1719 Å³/cell. Its total magnetic moment is 0.00 μB/f.u. The formation energy is -10 kJ per mole of atoms.

Lattice parameters (Å, degrees): 11.4986 11.4986 15.0101 90.00 90.00 120.00
Last column: nearest neighbours and their distance in Å.
Space group R-3 (No. 148, hexagonal axes)
Symmetry-distinct sites (fractional):
Li 0.0000 0.0000 0.0000  6 Cd 3.02
Pr 0.0337 0.1929 0.8111  5 Pr 3.22-3.60, 3 Cd 3.33-3.48, 1 Li 3.50
Pr 0.0622 0.8474 0.4074  4 Cd 3.37-3.77, 5 Pr 3.41-3.60
Cd 0.0460 0.4503 0.7009  1 Li 3.02, 2 Cd 3.15, 2 Pr 3.33-3.37

(6)
A plane-wave DFT calculation with GGA-PBE was carried out for crystalline AcP2Pt4Au at its relaxed geometry.

The calculated volume comes out at 160 Å³/cell. Its total magnetic moment is 0.00 μB/f.u. The formation energy is -52 kJ per mole of atoms.

Lattice parameters (Å, degrees): 4.1121 4.1121 9.4393 90.00 90.00 90.00
Last column: nearest neighbours and their distance in Å.
Space group P4/mmm (No. 123)
Symmetry-distinct sites (fractional):
Ac 0.0000 0.0000 0.0000  8 P 3.35, 8 Pt 3.45
P 0.5000 0.5000 0.1766  4 Pt 2.33
Pt 0.0000 0.5000 0.2936  2 P 2.33
Au 0.0000 0.0000 0.5000  8 Pt 2.83

calculated volume of number 3 (MnMoCl2)?
191 Å³/cell

calculated volume of number 4 (NaCaLa2Ru)?
178 Å³/cell

total magnetic moment of number 2 (Hf3P2C)?
0.00 μB/f.u.